# LiHoGaCo | Alexandria via LeMat-Bulk | GGA-PBE | relaxed
data_LiHoGaCo
_chemical_formula_sum 'Li4 Ho4 Ga4 Co4'
_cell_length_a 6.344
_cell_length_b 6.344
_cell_length_c 6.344
_cell_angle_alpha 90.00
_cell_angle_beta 90.00
_cell_angle_gamma 90.00
_symmetry_space_group_name_H-M 'F -4 3 m'
_symmetry_Int_Tables_number 216
_symmetry_space_group_name_Hall 'F -4 2 3'
loop_
_atom_site_label
_atom_site_type_symbol
_atom_site_fract_x
_atom_site_fract_y
_atom_site_fract_z
Li1 Li 0.000 0.000 0.000
Ho1 Ho 0.250 0.250 0.250
Ga1 Ga 0.250 0.250 0.750
Co1 Co 0.000 0.000 0.500
# - crystal system = cubic
# - ΔH_f (0 K) (eV per atom) = -0.243
# - total DFT energy (no corrections) (eV per atom) = -4.40
# - Fermi-level density of states (states/eV/f.u.) = 4.48

=====

# Y2InGa3 | Alexandria via LeMat-Bulk | GGA-PBE | relaxed
data_Y2InGa3
_chemical_formula_sum 'Y16 In8 Ga24'
_cell_length_a 7.326
_cell_length_b 9.048
_cell_length_c 15.757
_cell_angle_alpha 90.00
_cell_angle_beta 90.00
_cell_angle_gamma 90.00
_symmetry_space_group_name_H-M 'F m m m'
_symmetry_Int_Tables_number 69
_symmetry_space_group_name_Hall '-F 2 2'
loop_
_atom_site_label
_atom_site_type_symbol
_atom_site_fract_x
_atom_site_fract_y
_atom_site_fract_z
Y1 Y 0.248 0.000 0.000
Y2 Y 0.250 0.250 0.250
In1 In 0.000 0.000 0.334
Ga1 Ga 0.000 0.000 0.162
Ga2 Ga 0.000 0.244 0.081
# - crystal system = orthorhombic
# - ΔH_f (0 K) (eV per atom) = -0.545
# - total DFT energy (no corrections) (eV per atom) = -4.67
# - Fermi-level density of states (states/eV/f.u.) = 1.96

=====

# Ce2AlGa3Pd4 | Alexandria via LeMat-Bulk | GGA-PBE | relaxed
data_Ce2AlGa3Pd4
_chemical_formula_sum 'Ce2 Al1 Ga3 Pd4'
_cell_length_a 4.266
_cell_length_b 4.266
_cell_length_c 10.557
_cell_angle_alpha 90.00
_cell_angle_beta 90.00
_cell_angle_gamma 90.00
_symmetry_space_group_name_H-M 'P -4 m 2'
_symmetry_Int_Tables_number 115
loop_
_symmetry_equiv_pos_as_xyz
'x,y,z'
'y,-x,-z'
'-x,-y,z'
'-y,x,-z'
'-x,y,z'
'-y,-x,-z'
'x,-y,z'
'y,x,-z'
loop_
_atom_site_label
_atom_site_type_symbol
_atom_site_fract_x
_atom_site_fract_y
_atom_site_fract_z
Ce1 Ce 0.000 0.500 0.247
Al1 Al 0.500 0.500 0.000
Ga1 Ga 0.000 0.000 0.000
Ga2 Ga 0.000 0.500 0.630
Pd1 Pd 0.000 0.000 0.500
Pd2 Pd 0.000 0.500 0.867
Pd3 Pd 0.500 0.500 0.500
# - crystal system = tetragonal
# - ΔH_f (0 K) (eV per atom) = -0.770
# - total DFT energy (no corrections) (eV per atom) = -5.32
# - Fermi-level density of states (states/eV/f.u.) = 15.26

=====

# Zr2BAsCl | Alexandria via LeMat-Bulk | GGA-PBE | relaxed
data_Zr2BAsCl
_chemical_formula_sum 'Zr2 B1 As1 Cl1'
_cell_length_a 5.114
_cell_length_b 5.114
_cell_length_c 3.891
_cell_angle_alpha 90.00
_cell_angle_beta 90.00
_cell_angle_gamma 90.00
_symmetry_space_group_name_H-M 'P 4/m m m'
_symmetry_Int_Tables_number 123
_symmetry_space_group_name_Hall '-P 4 2'
loop_
_atom_site_label
_atom_site_type_symbol
_atom_site_fract_x
_atom_site_fract_y
_atom_site_fract_z
Zr1 Zr 0.000 0.500 0.000
B1 B 0.000 0.000 0.500
As1 As 0.000 0.000 0.000
Cl1 Cl 0.500 0.500 0.500
# - crystal system = tetragonal
# - total DFT energy (no corrections) (eV per atom) = -5.62
# - formation energy from raw total energies (eV per formula unit) = 2.2
# - Fermi-level density of states (states/eV/f.u.) = 3.22

=====

# TiBAs2Se | Alexandria via LeMat-Bulk | GGA-PBE | relaxed
data_TiBAs2Se
_chemical_formula_sum 'Ti1 B1 As2 Se1'
_cell_length_a 4.378
_cell_length_b 4.378
_cell_length_c 4.455
_cell_angle_alpha 90.00
_cell_angle_beta 90.00
_cell_angle_gamma 90.00
_symmetry_space_group_name_H-M 'P 4/m m m'
_symmetry_Int_Tables_number 123
_symmetry_space_group_name_Hall '-P 4 2'
loop_
_atom_site_label
_atom_site_type_symbol
_atom_site_fract_x
_atom_site_fract_y
_atom_site_fract_z
Ti1 Ti 0.000 0.000 0.000
B1 B 0.500 0.500 0.500
As1 As 0.000 0.500 0.500
Se1 Se 0.500 0.500 0.000
# - crystal system = tetragonal
# - total DFT energy (no corrections) (eV per atom) = -4.89
# - formation energy from raw total energies (eV per formula unit) = 2.9
# - Fermi-level density of states (states/eV/f.u.) = 5.80

=====

# VReTc2 | Alexandria via LeMat-Bulk | GGA-PBE | relaxed
data_VReTc2
_chemical_formula_sum 'V1 Re1 Tc2'
_cell_length_a 3.015
_cell_length_b 3.015
_cell_length_c 6.311
_cell_angle_alpha 90.00
_cell_angle_beta 90.00
_cell_angle_gamma 90.00
_symmetry_space_group_name_H-M 'P 4/m m m'
_symmetry_Int_Tables_number 123
_symmetry_space_group_name_Hall '-P 4 2'
loop_
_atom_site_label
_atom_site_type_symbol
_atom_site_fract_x
_atom_site_fract_y
_atom_site_fract_z
V1 V 0.000 0.000 0.000
Re1 Re 0.000 0.000 0.500
Tc1 Tc 0.500 0.500 0.234
# - crystal system = tetragonal
# - ΔH_f (0 K) (eV per atom) = -0.099
# - total DFT energy (no corrections) (eV per atom) = -10.67
# - Fermi-level density of states (states/eV/f.u.) = 2.97

=====

# Rh3NF | Alexandria via LeMat-Bulk | GGA-PBE | relaxed
data_Rh3NF
_chemical_formula_sum 'Rh3 N1 F1'
_cell_length_a 4.034
_cell_length_b 4.034
_cell_length_c 4.034
_cell_angle_alpha 90.00
_cell_angle_beta 90.00
_cell_angle_gamma 90.00
_symmetry_space_group_name_H-M 'P m -3 m'
_symmetry_Int_Tables_number 221
_symmetry_space_group_name_Hall '-P 4 2 3'
loop_
_atom_site_label
_atom_site_type_symbol
_atom_site_fract_x
_atom_site_fract_y
_atom_site_fract_z
Rh1 Rh 0.000 0.000 0.500
N1 N 0.000 0.000 0.000
F1 F 0.500 0.500 0.500
# - crystal system = cubic
# - total DFT energy (no corrections) (eV per atom) = -6.16
# - formation energy from raw total energies (eV per formula unit) = 1.4
# - Fermi-level density of states (states/eV/f.u.) = 6.14

=====

# RbOs2Au | Alexandria via LeMat-Bulk | GGA-PBE | relaxed
data_RbOs2Au
_chemical_formula_sum 'Rb4 Os8 Au4'
_cell_length_a 6.733
_cell_length_b 6.733
_cell_length_c 6.733
_cell_angle_alpha 90.00
_cell_angle_beta 90.00
_cell_angle_gamma 90.00
_symmetry_space_group_name_H-M 'F m -3 m'
_symmetry_Int_Tables_number 225
_symmetry_space_group_name_Hall '-F 4 2 3'
loop_
_atom_site_label
_atom_site_type_symbol
_atom_site_fract_x
_atom_site_fract_y
_atom_site_fract_z
Rb1 Rb 0.000 0.000 0.000
Os1 Os 0.250 0.250 0.250
Au1 Au 0.000 0.000 0.500
# - crystal system = cubic
# - ΔH_f (0 K) (eV per atom) = 2.202
# - total DFT energy (no corrections) (eV per atom) = -4.47
# - Fermi-level density of states (states/eV/f.u.) = 4.23

=====

# Li2RePb | Alexandria via LeMat-Bulk | GGA-PBE | relaxed
data_Li2RePb
_chemical_formula_sum 'Li2 Re1 Pb1'
_cell_length_a 2.762
_cell_length_b 4.737
_cell_length_c 5.323
_cell_angle_alpha 90.00
_cell_angle_beta 90.20
_cell_angle_gamma 90.00
_symmetry_space_group_name_H-M 'P 1 m 1'
_symmetry_Int_Tables_number 6
loop_
_symmetry_equiv_pos_as_xyz
'x,y,z'
'x,-y,z'
loop_
_atom_site_label
_atom_site_type_symbol
_atom_site_fract_x
_atom_site_fract_y
_atom_site_fract_z
Li1 Li 0.000 0.000 0.000
Li2 Li 0.007 0.500 0.713
Re1 Re 0.502 0.000 0.516
Pb1 Pb 0.507 0.500 0.224
# - crystal system = monoclinic
# - ΔH_f (0 K) (eV per atom) = 0.446
# - total DFT energy (no corrections) (eV per atom) = -4.55
# - Fermi-level density of states (states/eV/f.u.) = 2.04

=====

# MgVCo2 | Alexandria via LeMat-Bulk | GGA-PBE | relaxed
data_MgVCo2
_chemical_formula_sum 'Mg4 V4 Co8'
_cell_length_a 6.485
_cell_length_b 6.485
_cell_length_c 5.335
_cell_angle_alpha 90.00
_cell_angle_beta 90.00
_cell_angle_gamma 90.00
_symmetry_space_group_name_H-M 'I -4 2 d'
_symmetry_Int_Tables_number 122
_symmetry_space_group_name_Hall 'I -4 2bw'
loop_
_atom_site_label
_atom_site_type_symbol
_atom_site_fract_x
_atom_site_fract_y
_atom_site_fract_z
Mg1 Mg 0.000 0.000 0.000
V1 V 0.000 0.000 0.500
Co1 Co 0.206 0.750 0.625
# - crystal system = tetragonal
# - ΔH_f (0 K) (eV per atom) = 0.373
# - total DFT energy (no corrections) (eV per atom) = -5.86
# - Fermi-level density of states (states/eV/f.u.) = 3.31

=====

# Ag3OsI2Br6 | Alexandria via LeMat-Bulk | GGA-PBE | relaxed
data_Ag3OsI2Br6
_chemical_formula_sum 'Ag6 Os2 I4 Br12'
_cell_length_a 14.792
_cell_length_b 7.965
_cell_length_c 6.313
_cell_angle_alpha 90.00
_cell_angle_beta 96.27
_cell_angle_gamma 90.00
_symmetry_space_group_name_H-M 'C 1 2/m 1'
_symmetry_Int_Tables_number 12
loop_
_symmetry_equiv_pos_as_xyz
'x,y,z'
'-x,-y,-z'
'-x,y,-z'
'x,-y,z'
'x+1/2,y+1/2,z'
'-x+1/2,-y+1/2,-z'
'-x+1/2,y+1/2,-z'
'x+1/2,-y+1/2,z'
loop_
_atom_site_label
_atom_site_type_symbol
_atom_site_fract_x
_atom_site_fract_y
_atom_site_fract_z
Ag1 Ag 0.000 0.000 0.000
Ag2 Ag 0.250 0.250 0.500
Os1 Os 0.000 0.500 0.500
I1 I 0.177 0.000 0.216
Br1 Br 0.079 0.277 0.729
Br2 Br 0.130 0.500 0.278
# - crystal system = monoclinic
# - total DFT energy (no corrections) (eV per atom) = -2.93
# - formation energy from raw total energies (eV per formula unit) = -2.2
# - Fermi-level density of states (states/eV/f.u.) = 6.25

=====

# Ba2Ag8S7 | Alexandria via LeMat-Bulk | GGA-PBE | relaxed
data_Ba2Ag8S7
_chemical_formula_sum 'Ba4 Ag16 S14'
_cell_length_a 16.003
_cell_length_b 10.928
_cell_length_c 4.473
_cell_angle_alpha 90.00
_cell_angle_beta 90.00
_cell_angle_gamma 90.00
_symmetry_space_group_name_H-M 'P m n 21'
_symmetry_Int_Tables_number 31
loop_
_symmetry_equiv_pos_as_xyz
'x,y,z'
'-x+1/2,-y,z+1/2'
'-x,y,z'
'x+1/2,-y,z+1/2'
loop_
_atom_site_label
_atom_site_type_symbol
_atom_site_fract_x
_atom_site_fract_y
_atom_site_fract_z
Ba1 Ba 0.136 0.120 0.000
Ag1 Ag 0.000 0.420 0.987
Ag2 Ag 0.000 0.788 0.905
Ag3 Ag 0.107 0.514 0.491
Ag4 Ag 0.144 0.806 0.502
Ag5 Ag 0.207 0.633 0.993
S1 S 0.000 0.002 0.500
S2 S 0.000 0.199 0.505
S3 S 0.000 0.694 0.399
S4 S 0.153 0.421 0.985
S5 S 0.222 0.855 0.997
# - crystal system = orthorhombic
# - total DFT energy (no corrections) (eV per atom) = -3.80
# - formation energy from raw total energies (eV per formula unit) = -9.1